# 1
Entry from the Alexandria database: a relaxed Sr2SiHg3 crystal (PBE-GGA).

Theoretical density ... 8061 kg/m3
Uncorrected formation energy ... -0.416 eV per atom
N(E_F) ... 2.93 states/eV/f.u.

abc: 8.029 9.787 16.885
angles: 90.00 90.00 90.00
Space group Fmmm (No. 69)
One atom of each set of equivalent atoms:
Sr 0.241 0.000 0.000 [8 per cell]
Sr 0.250 0.250 0.250 [8 per cell]
Si 0.000 0.000 0.335 [8 per cell]
Hg 0.000 0.000 0.173 [8 per cell]
Hg 0.000 0.238 0.413 [16 per cell]


# 2
Entry from the Alexandria database: a relaxed Sr2SiHg crystal (PBE-GGA).

Theoretical density ... 4992 kg/m3
Uncorrected formation energy ... -0.075 eV per atom
N(E_F) ... 3.10 states/eV/f.u.

abc: 3.947 3.947 8.626
angles: 90.00 90.00 90.00
Space group P4mm (No. 99)
One atom of each set of equivalent atoms:
Sr 0.000 0.000 0.000 [1 per cell]
Sr 0.500 0.500 0.414 [1 per cell]
Si 0.500 0.500 0.788 [1 per cell]
Hg 0.000 0.000 0.619 [1 per cell]


# 3
Entry from the Alexandria database: a relaxed Sr2Zn4Si3Hg crystal (PBE-GGA).

Theoretical density ... 5875 kg/m3
Uncorrected formation energy ... -0.271 eV per atom
N(E_F) ... 1.29 states/eV/f.u.

abc: 4.329 4.329 10.886
angles: 90.00 90.00 90.00
Space group P-4m2 (No. 115)
One atom of each set of equivalent atoms:
Sr 0.000 0.500 0.241 [2 per cell]
Zn 0.000 0.000 0.000 [1 per cell]
Zn 0.000 0.500 0.645 [2 per cell]
Zn 0.500 0.500 0.000 [1 per cell]
Si 0.000 0.500 0.871 [2 per cell]
Si 0.500 0.500 0.500 [1 per cell]
Hg 0.000 0.000 0.500 [1 per cell]


# 4
Entry from the Alexandria database: a relaxed TaSi2Hg crystal (PBE-GGA).

Theoretical density ... 10514 kg/m3
Uncorrected formation energy ... 0.301 eV per atom
N(E_F) ... 1.88 states/eV/f.u.

abc: 10.123 2.904 4.724
angles: 90.00 95.25 90.00
Space group Cm (No. 8)
One atom of each set of equivalent atoms:
Ta 0.000 0.000 0.000 [2 per cell]
Si 0.009 0.500 0.505 [2 per cell]
Si 0.270 0.000 0.839 [2 per cell]
Hg 0.250 0.500 0.330 [2 per cell]


# 5
Entry from the Alexandria database: a relaxed TaSiHg3 crystal (PBE-GGA).

Theoretical density ... 10782 kg/m3
Uncorrected formation energy ... 1.272 eV per atom
Relative energy among the computed polymorphs ... 9 meV per atom
N(E_F) ... 6.78 states/eV/f.u.

abc: 4.998 4.998 4.998
angles: 90.00 90.00 90.00
Space group Pm-3m (No. 221)
One atom of each set of equivalent atoms:
Ta 0.000 0.000 0.000 [1 per cell]
Si 0.500 0.500 0.500 [1 per cell]
Hg 0.000 0.500 0.500 [3 per cell]


# 6
Entry from the Alexandria database: a relaxed TaSi2Hg crystal (PBE-GGA).

Theoretical density ... 10705 kg/m3
Uncorrected formation energy ... 0.352 eV per atom
N(E_F) ... 2.84 states/eV/f.u.

abc: 3.812 3.812 9.342
angles: 90.00 90.00 90.00
Space group I-4m2 (No. 119)
One atom of each set of equivalent atoms:
Ta 0.000 0.000 0.000 [2 per cell]
Si 0.000 0.000 0.500 [2 per cell]
Si 0.000 0.500 0.250 [2 per cell]
Hg 0.000 0.500 0.750 [2 per cell]


# 7
Entry from the Alexandria database: a relaxed TaSi2Hg crystal (PBE-GGA).

Theoretical density ... 9548 kg/m3
Uncorrected formation energy ... 0.234 eV per atom
N(E_F) ... 2.33 states/eV/f.u.

abc: 3.688 4.354 9.479
angles: 90.00 90.00 90.00
Space group Cmmm (No. 65)
One atom of each set of equivalent atoms:
Ta 0.000 0.000 0.000 [2 per cell]
Si 0.000 0.500 0.207 [4 per cell]
Hg 0.000 0.000 0.500 [2 per cell]


# 8
Entry from the Alexandria database: a relaxed TaSiHg crystal (PBE-GGA).

Theoretical density ... 12368 kg/m3
Uncorrected formation energy ... 0.296 eV per atom
Relative energy among the computed polymorphs ... 0 meV per atom
N(E_F) ... 1.97 states/eV/f.u.

abc: 2.971 3.556 10.410
angles: 90.00 90.00 90.00
Space group Imm2 (No. 44)
One atom of each set of equivalent atoms:
Ta 0.000 0.000 0.000 [2 per cell]
Si 0.000 0.000 0.381 [2 per cell]
Hg 0.000 0.000 0.696 [2 per cell]


# 9
Entry from the Alexandria database: a relaxed TaSiHg4 crystal (PBE-GGA).

Theoretical density ... 12612 kg/m3
Uncorrected formation energy ... 0.943 eV per atom
N(E_F) ... 5.63 states/eV/f.u.

abc: 8.106 8.106 8.106
angles: 90.00 90.00 90.00
Space group F-43m (No. 216)
One atom of each set of equivalent atoms:
Ta 0.000 0.000 0.000 [4 per cell]
Si 0.250 0.250 0.250 [4 per cell]
Hg 0.125 0.125 0.625 [16 per cell]


# 10
Entry from the Alexandria database: a relaxed TaSi2Hg crystal (PBE-GGA).

Theoretical density ... 8966 kg/m3
Uncorrected formation energy ... 0.231 eV per atom
N(E_F) ... 1.98 states/eV/f.u.

abc: 2.764 2.764 10.615
angles: 90.00 90.00 90.00
Space group P4/mmm (No. 123)
One atom of each set of equivalent atoms:
Ta 0.000 0.000 0.000 [1 per cell]
Si 0.500 0.500 0.195 [2 per cell]
Hg 0.000 0.000 0.500 [1 per cell]


# 11
Entry from the Alexandria database: a relaxed TaSi2Hg crystal (PBE-GGA).

Theoretical density ... 10345 kg/m3
Uncorrected formation energy ... 0.359 eV per atom
N(E_F) ... 1.73 states/eV/f.u.

abc: 3.537 4.607 8.625
angles: 90.00 90.00 90.00
Space group Cmm2 (No. 35)
One atom of each set of equivalent atoms:
Ta 0.000 0.000 0.000 [2 per cell]
Si 0.000 0.000 0.439 [2 per cell]
Si 0.000 0.500 0.222 [2 per cell]
Hg 0.000 0.500 0.720 [2 per cell]


# 12
Entry from the Alexandria database: a relaxed TaSi2Hg crystal (PBE-GGA).

Theoretical density ... 10183 kg/m3
Uncorrected formation energy ... 0.495 eV per atom
N(E_F) ... 2.41 states/eV/f.u.

abc: 2.848 4.734 5.294
angles: 90.00 90.00 90.00
Space group Pmmm (No. 47)
One atom of each set of equivalent atoms:
Ta 0.000 0.000 0.000 [1 per cell]
Si 0.000 0.500 0.500 [1 per cell]
Si 0.500 0.500 0.000 [1 per cell]
Hg 0.500 0.000 0.500 [1 per cell]


# 13
Entry from the Alexandria database: a relaxed TaSi2Hg crystal (PBE-GGA).

Theoretical density ... 10406 kg/m3
Uncorrected formation energy ... 0.381 eV per atom
N(E_F) ... 2.02 states/eV/f.u.

abc: 2.869 2.869 8.483
angles: 90.00 90.00 90.00
Space group P4mm (No. 99)
One atom of each set of equivalent atoms:
Ta 0.000 0.000 0.000 [1 per cell]
Si 0.000 0.000 0.566 [1 per cell]
Si 0.500 0.500 0.781 [1 per cell]
Hg 0.500 0.500 0.278 [1 per cell]


# 14
Entry from the Alexandria database: a relaxed TaSi2Hg crystal (PBE-GGA).

Theoretical density ... 10158 kg/m3
Uncorrected formation energy ... 0.236 eV per atom
N(E_F) ... 2.18 states/eV/f.u.

abc: 3.0831 3.0831 26.0750
angles: 90.00 90.00 120.00
Space group R-3m (No. 166, hexagonal axes)
One atom of each set of equivalent atoms:
Ta 0.0000 0.0000 0.0000 [3 per cell]
Si 0.0000 0.0000 0.2567 [6 per cell]
Hg 0.0000 0.0000 0.5000 [3 per cell]


# 15
Entry from the Alexandria database: a relaxed TaSi2Hg crystal (PBE-GGA).

Theoretical density ... 10365 kg/m3
Uncorrected formation energy ... 0.405 eV per atom
N(E_F) ... 1.89 states/eV/f.u.

abc: 5.995 8.977 3.007
angles: 90.00 119.92 90.00
Space group C2/m (No. 12)
One atom of each set of equivalent atoms:
Ta 0.000 0.000 0.000 [2 per cell]
Si 0.250 0.250 0.000 [4 per cell]
Hg 0.000 0.500 0.000 [2 per cell]


# 16
Entry from the Alexandria database: a relaxed TaSi2Hg crystal (PBE-GGA).

Theoretical density ... 10390 kg/m3
Uncorrected formation energy ... 0.135 eV per atom
N(E_F) ... 2.66 states/eV/f.u.

abc: 3.415 3.466 5.910
angles: 90.00 90.00 90.00
Space group Pmmm (No. 47)
One atom of each set of equivalent atoms:
Ta 0.000 0.000 0.000 [1 per cell]
Si 0.500 0.500 0.209 [2 per cell]
Hg 0.000 0.000 0.500 [1 per cell]


# 17
Entry from the Alexandria database: a relaxed TaSi2Hg crystal (PBE-GGA).

Theoretical density ... 10601 kg/m3
Uncorrected formation energy ... 0.323 eV per atom
N(E_F) ... 2.06 states/eV/f.u.

abc: 6.779 7.025 2.879
angles: 90.00 90.00 90.00
Space group Cmmm (No. 65)
One atom of each set of equivalent atoms:
Ta 0.000 0.000 0.000 [2 per cell]
Si 0.250 0.250 0.500 [4 per cell]
Hg 0.000 0.500 0.000 [2 per cell]


# 18
Entry from the Alexandria database: a relaxed TaSi2Hg crystal (PBE-GGA).

Theoretical density ... 10240 kg/m3
Uncorrected formation energy ... 0.750 eV per atom
N(E_F) ... 2.15 states/eV/f.u.

abc: 6.572 6.572 6.572
angles: 90.00 90.00 90.00
Space group F-43m (No. 216)
One atom of each set of equivalent atoms:
Ta 0.000 0.000 0.000 [4 per cell]
Si 0.000 0.000 0.500 [4 per cell]
Si 0.250 0.250 0.750 [4 per cell]
Hg 0.250 0.250 0.250 [4 per cell]


# 19
Entry from the Alexandria database: a relaxed TaSi2Hg crystal (PBE-GGA).

Theoretical density ... 9519 kg/m3
Uncorrected formation energy ... 0.198 eV per atom
N(E_F) ... 2.79 states/eV/f.u.

abc: 2.877 3.686 7.201
angles: 90.00 90.30 90.00
Space group P2/m (No. 10)
One atom of each set of equivalent atoms:
Ta 0.000 0.000 0.000 [1 per cell]
Si 0.497 0.500 0.813 [2 per cell]
Hg 0.500 0.000 0.500 [1 per cell]


# 20
Entry from the Alexandria database: a relaxed TaSi2Hg crystal (PBE-GGA).

Theoretical density ... 9622 kg/m3
Uncorrected formation energy ... 0.636 eV per atom
N(E_F) ... 3.29 states/eV/f.u.

abc: 7.210 7.210 5.813
angles: 90.00 90.00 90.00
Space group I-42d (No. 122)
One atom of each set of equivalent atoms:
Ta 0.000 0.000 0.000 [4 per cell]
Si 0.239 0.250 0.125 [8 per cell]
Hg 0.000 0.000 0.500 [4 per cell]


# 21
Entry from the Alexandria database: a relaxed TaSi2Hg crystal (PBE-GGA).

Theoretical density ... 10591 kg/m3
Uncorrected formation energy ... 0.215 eV per atom
N(E_F) ... 1.99 states/eV/f.u.

abc: 3.558 3.558 5.422
angles: 90.00 90.00 90.00
Space group P4mm (No. 99)
One atom of each set of equivalent atoms:
Ta 0.000 0.000 0.000 [1 per cell]
Si 0.000 0.000 0.525 [1 per cell]
Si 0.500 0.500 0.819 [1 per cell]
Hg 0.500 0.500 0.321 [1 per cell]


# 22
Entry from the Alexandria database: a relaxed TaSiHg crystal (PBE-GGA).

Theoretical density ... 12923 kg/m3
Uncorrected formation energy ... 0.492 eV per atom
Relative energy among the computed polymorphs ... 197 meV per atom
N(E_F) ... 3.18 states/eV/f.u.

abc: 4.6697 4.6697 2.7873
angles: 90.00 90.00 120.00
Space group P-6m2 (No. 187)
One atom of each set of equivalent atoms:
Ta 0.0000 0.0000 0.0000 [1 per cell]
Si 0.3333 0.6667 0.5000 [1 per cell]
Hg 0.6667 0.3333 0.5000 [1 per cell]


# 23
Entry from the Alexandria database: a relaxed Ta4SiHg crystal (PBE-GGA).

Theoretical density ... 13576 kg/m3
Uncorrected formation energy ... 0.632 eV per atom
N(E_F) ... 5.52 states/eV/f.u.

abc: 7.753 7.753 7.753
angles: 90.00 90.00 90.00
Space group F-43m (No. 216)
One atom of each set of equivalent atoms:
Ta 0.125 0.125 0.125 [16 per cell]
Si 0.000 0.000 0.500 [4 per cell]
Hg 0.250 0.250 0.750 [4 per cell]


# 24
Entry from the Alexandria database: a relaxed TaSiHg crystal (PBE-GGA).

Theoretical density ... 12146 kg/m3
Uncorrected formation energy ... 0.354 eV per atom
Relative energy among the computed polymorphs ... 59 meV per atom
N(E_F) ... 2.28 states/eV/f.u.

abc: 3.611 4.590 13.516
angles: 90.00 90.00 90.00
Space group Fmm2 (No. 42)
One atom of each set of equivalent atoms:
Ta 0.000 0.000 0.000 [4 per cell]
Si 0.000 0.000 0.360 [4 per cell]
Hg 0.000 0.000 0.674 [4 per cell]


# 25
Entry from the Alexandria database: a relaxed TaSi2Hg crystal (PBE-GGA).

Theoretical density ... 9703 kg/m3
Uncorrected formation energy ... 0.202 eV per atom
N(E_F) ... 1.45 states/eV/f.u.

abc: 8.857 3.267 5.227
angles: 90.00 97.95 90.00
Space group C2/m (No. 12)
One atom of each set of equivalent atoms:
Ta 0.000 0.000 0.000 [2 per cell]
Si 0.227 0.500 0.158 [4 per cell]
Hg 0.000 0.500 0.500 [2 per cell]


# 26
Entry from the Alexandria database: a relaxed TaSiHg crystal (PBE-GGA).

Theoretical density ... 12395 kg/m3
Uncorrected formation energy ... 0.313 eV per atom
Relative energy among the computed polymorphs ... 17 meV per atom
N(E_F) ... 1.97 states/eV/f.u.

abc: 3.0191 3.0191 6.9519
angles: 90.00 90.00 120.00
Space group P3m1 (No. 156)
One atom of each set of equivalent atoms:
Ta 0.0000 0.0000 0.0000 [1 per cell]
Si 0.3333 0.6667 0.7006 [1 per cell]
Hg 0.6667 0.3333 0.3569 [1 per cell]


# 27
Entry from the Alexandria database: a relaxed TaSiHg crystal (PBE-GGA).

Theoretical density ... 12254 kg/m3
Uncorrected formation energy ... 0.396 eV per atom
Relative energy among the computed polymorphs ... 101 meV per atom
N(E_F) ... 2.22 states/eV/f.u.

abc: 2.918 2.918 13.041
angles: 90.00 90.00 90.00
Space group I4mm (No. 107)
One atom of each set of equivalent atoms:
Ta 0.000 0.000 0.000 [2 per cell]
Si 0.000 0.000 0.361 [2 per cell]
Hg 0.000 0.000 0.676 [2 per cell]


# 28
Entry from the Alexandria database: a relaxed TaSi2Hg crystal (PBE-GGA).

Theoretical density ... 10719 kg/m3
Uncorrected formation energy ... 0.365 eV per atom
N(E_F) ... 2.41 states/eV/f.u.

abc: 4.075 4.075 8.166
angles: 90.00 90.00 90.00
Space group I4/mmm (No. 139)
One atom of each set of equivalent atoms:
Ta 0.000 0.000 0.000 [2 per cell]
Si 0.000 0.500 0.250 [4 per cell]
Hg 0.000 0.000 0.500 [2 per cell]


# 29
Entry from the Alexandria database: a relaxed TaSiHg3 crystal (PBE-GGA).

Theoretical density ... 8794 kg/m3
Uncorrected formation energy ... 1.263 eV per atom
Relative energy among the computed polymorphs ... 0 meV per atom
N(E_F) ... 3.81 states/eV/f.u.

abc: 5.350 5.350 5.350
angles: 90.00 90.00 90.00
Space group Pm-3m (No. 221)
One atom of each set of equivalent atoms:
Ta 0.000 0.000 0.000 [1 per cell]
Si 0.500 0.500 0.500 [1 per cell]
Hg 0.000 0.000 0.500 [3 per cell]


# 30
Entry from the Alexandria database: a relaxed TaSiTc2Hg crystal (PBE-GGA).

Theoretical density ... 9402 kg/m3
Uncorrected formation energy ... 2.299 eV per atom
N(E_F) ... 5.40 states/eV/f.u.

abc: 4.953 4.953 4.360
angles: 90.00 90.00 90.00
Space group P4/mmm (No. 123)
One atom of each set of equivalent atoms:
Ta 0.000 0.000 0.000 [1 per cell]
Si 0.500 0.500 0.000 [1 per cell]
Tc 0.000 0.500 0.500 [2 per cell]
Hg 0.500 0.500 0.500 [1 per cell]